DFT (PBE-GGA) results for an optimized crystal structure of Ca4Pt2Pb5.

Values from the calculation:
space group	P2/m, No. 10
VASP energy	-4.082	eV per atom
DFT formation energy	-605.0	kJ/mol of formula units
crystal system	monoclinic
DOS at the Fermi energy	4.3	states/eV/f.u.

Unit cell a=8.110 b=3.785 c=9.885 alpha=90.00 beta=93.77 gamma=90.00
Atoms (fractional coordinates):
Ca 0.194 0.000 0.348
Ca 0.208 0.000 0.931
Ca 0.792 0.000 0.069
Ca 0.806 0.000 0.652
Pt 0.080 0.500 0.136
Pt 0.920 0.500 0.864
Pb 0.147 0.500 0.641
Pb 0.450 0.500 0.164
Pb 0.500 0.500 0.500
Pb 0.550 0.500 0.836
Pb 0.853 0.500 0.359